The following is a PBE-GGA calculation of NdPa2O6 after structural relaxation, from Alexandria via LeMat-Bulk.

As for the uncorrected formation energy: -3634 meV per atom. The value obtained for the mass density is 9.323 g cm⁻³. The value obtained for the magnetization is 1.1 μB/f.u. The total DFT energy (no corrections) is -9.58 eV per atom.

POSCAR file:
```
NdPa2O6
1.0
-1.506 3.508 0.834
-1.422 -2.076 -2.990
-6.262 -4.068 5.805
O Nd Pa
6 1 2
direct
0.000 0.000 0.267
0.667 0.333 0.581
0.000 0.000 0.733
0.667 0.333 0.101
0.333 0.667 0.419
0.333 0.667 0.899
0.000 0.000 0.000
0.667 0.333 0.333
0.333 0.667 0.667
```